No. 1
GGA-PBE NiHg2W, relaxed; DOS at the Fermi energy = 3.6 states/eV/f.u.; energy of formation = 1.09 eV/atom
1.0
7.3310 0.0000 0.0000
0.0000 7.3310 0.0000
0.0000 0.0000 5.5294
Ni Hg W
4 8 4
Cartesian
0.0000 0.0000 0.0000
0.0000 3.6655 1.3824
3.6655 0.0000 4.1471
3.6655 3.6655 2.7647
1.6484 1.8328 0.6912
1.8328 5.3139 2.0735
1.8328 5.6826 4.8382
2.0171 1.8328 3.4559
5.3139 5.4983 3.4559
5.4983 1.6484 4.8382
5.4983 2.0171 2.0735
5.6826 5.4983 0.6912
0.0000 0.0000 2.7647
0.0000 3.6655 4.1471
3.6655 0.0000 1.3824
3.6655 3.6655 0.0000

---

No. 2
GGA-PBE NiHgW3, relaxed; DOS at the Fermi energy = 6.1 states/eV/f.u.; energy of formation = 1.53 eV/atom
1.0
4.5089 0.0000 0.0000
0.0000 4.5089 0.0000
0.0000 0.0000 4.5089
Ni Hg W
1 1 3
Cartesian
0.0000 0.0000 0.0000
2.2545 2.2545 2.2545
0.0000 0.0000 2.2545
0.0000 2.2545 0.0000
2.2545 0.0000 0.0000

---

No. 3
GGA-PBE NiHg2W, relaxed; DOS at the Fermi energy = 4.3 states/eV/f.u.; energy of formation = 0.81 eV/atom
1.0
4.0484 0.0000 0.0000
0.0000 4.0484 0.0000
0.0000 0.0000 4.2197
Ni Hg W
1 2 1
Cartesian
0.0000 0.0000 0.0000
0.0000 2.0242 2.1099
2.0242 0.0000 2.1099
2.0242 2.0242 0.0000

---

No. 4
GGA-PBE NiHg2W, relaxed; DOS at the Fermi energy = 3.9 states/eV/f.u.; energy of formation = 0.63 eV/atom
1.0
2.7895 0.0000 0.0000
0.0000 4.9332 0.0000
0.0000 0.0000 10.4872
Ni Hg W
2 4 2
Cartesian
0.0000 0.0000 0.0000
1.3947 2.4666 5.2436
0.0000 0.0000 4.8330
0.0000 2.4666 2.6287
1.3947 0.0000 7.8722
1.3947 2.4666 10.0766
0.0000 2.4666 7.3044
1.3947 0.0000 2.0608

---

No. 5
GGA-PBE NiHg2W, relaxed; DOS at the Fermi energy = 5.3 states/eV/f.u.; energy of formation = 0.73 eV/atom
1.0
5.9125 0.0000 0.0000
0.0000 8.3921 0.0000
0.0000 0.0000 2.8015
Ni Hg W
2 4 2
Cartesian
0.0000 0.0000 0.0000
2.9563 4.1960 0.0000
1.4781 2.0980 1.4007
1.4781 6.2941 1.4007
4.4344 2.0980 1.4007
4.4344 6.2941 1.4007
0.0000 4.1960 0.0000
2.9563 0.0000 0.0000

---

No. 6
GGA-PBE NiHg2W, relaxed; DOS at the Fermi energy = 4.0 states/eV/f.u.; energy of formation = 0.43 eV/atom
1.0
2.9096 0.0000 0.0000
-1.4548 2.5198 0.0000
0.0000 0.0000 29.7251
Ni Hg W
3 6 3
Cartesian
0.0000 0.0000 0.0000
0.0000 1.6799 19.8168
1.4548 0.8399 9.9084
0.0000 0.0000 15.2908
0.0000 0.0000 22.1088
0.0000 1.6799 5.3824
0.0000 1.6799 12.2004
1.4548 0.8399 2.2920
1.4548 0.8399 25.1992
0.0000 0.0000 7.9967
0.0000 1.6799 27.8135
1.4548 0.8399 17.9051

---

No. 7
GGA-PBE Ni3HgW, relaxed; DOS at the Fermi energy = 6.0 states/eV/f.u.; energy of formation = 1.33 eV/atom
1.0
4.5576 0.0000 0.0000
0.0000 4.5576 0.0000
0.0000 0.0000 4.5576
Ni Hg W
3 1 1
Cartesian
0.0000 0.0000 2.2788
0.0000 2.2788 0.0000
2.2788 0.0000 0.0000
2.2788 2.2788 2.2788
0.0000 0.0000 0.0000

---

No. 8
GGA-PBE NiHg2W, relaxed; DOS at the Fermi energy = 3.6 states/eV/f.u.; energy of formation = 0.81 eV/atom
1.0
2.9162 0.0000 0.0000
0.0000 4.8990 0.0000
0.0000 0.0000 4.9307
Ni Hg W
1 2 1
Cartesian
0.0000 0.0000 0.0000
0.0000 2.4495 2.4654
1.4581 2.4495 0.0000
1.4581 0.0000 2.4654

---

No. 9
GGA-PBE NiHg2W, relaxed; DOS at the Fermi energy = 4.7 states/eV/f.u.; energy of formation = 0.64 eV/atom
1.0
2.9718 0.0000 0.0000
-1.4859 2.5737 0.0000
0.0000 0.0000 27.1572
Ni Hg W
3 6 3
Cartesian
0.0000 0.0000 0.0000
0.0000 1.7158 18.1048
1.4859 0.8579 9.0524
0.0000 0.0000 6.9496
0.0000 0.0000 20.2077
0.0000 1.7158 11.1553
0.0000 1.7158 25.0544
1.4859 0.8579 2.1029
1.4859 0.8579 16.0020
0.0000 0.0000 13.5786
0.0000 1.7158 4.5262
1.4859 0.8579 22.6310

---

No. 10
GGA-PBE NiHg2W, relaxed; DOS at the Fermi energy = 4.6 states/eV/f.u.; energy of formation = 0.75 eV/atom
1.0
9.5485 0.0000 0.0000
0.0000 2.8959 0.0000
-1.2579 0.0000 5.0201
Ni Hg W
2 4 2
Cartesian
0.0000 0.0000 0.0000
4.7742 1.4479 0.0000
1.9761 1.4479 1.2069
1.5402 0.0000 3.8132
6.7504 0.0000 1.2069
6.3144 1.4479 3.8132
-0.6289 1.4479 2.5101
4.1453 0.0000 2.5101

---

No. 11
GGA-PBE NiHg4W, relaxed; DOS at the Fermi energy = 2.8 states/eV/f.u.; energy of formation = 1.18 eV/atom
1.0
0.0000 3.9830 3.9830
3.9830 0.0000 3.9830
3.9830 3.9830 0.0000
Ni Hg W
1 4 1
Cartesian
0.0000 0.0000 0.0000
2.9861 2.9861 2.9861
4.9800 4.9800 2.9861
4.9800 2.9861 4.9800
2.9861 4.9800 4.9800
5.9745 5.9745 5.9745

---

No. 12
GGA-PBE NiHg2W, relaxed; DOS at the Fermi energy = 1.8 states/eV/f.u.; energy of formation = 0.37 eV/atom
1.0
2.9048 0.0000 0.0000
0.0000 2.9048 0.0000
0.0000 0.0000 8.3182
Ni Hg W
1 2 1
Cartesian
0.0000 0.0000 0.0000
0.0000 0.0000 3.7672
1.4524 1.4524 6.3855
1.4524 1.4524 1.5455

---

No. 13
GGA-PBE Ni2Hg2W, relaxed; DOS at the Fermi energy = 7.7 states/eV/f.u.; energy of formation = 0.84 eV/atom
1.0
3.1529 0.0000 0.0000
0.0000 3.1529 0.0000
0.0000 0.0000 17.0906
Ni Hg W
4 4 2
Cartesian
0.0000 1.5765 4.2726
0.0000 1.5765 12.8179
1.5765 0.0000 4.2726
1.5765 0.0000 12.8179
0.0000 0.0000 1.9928
0.0000 0.0000 15.0978
1.5765 1.5765 6.5525
1.5765 1.5765 10.5381
0.0000 0.0000 8.5453
1.5765 1.5765 0.0000

---

No. 14
GGA-PBE NiHg2W, relaxed; DOS at the Fermi energy = 6.1 states/eV/f.u.; energy of formation = 0.93 eV/atom
1.0
6.5268 0.0000 0.0000
0.0000 6.5268 0.0000
0.0000 0.0000 6.5268
Ni Hg W
4 8 4
Cartesian
0.0000 0.0000 0.0000
0.0000 3.2634 3.2634
3.2634 0.0000 3.2634
3.2634 3.2634 0.0000
0.0000 0.0000 3.2634
0.0000 3.2634 0.0000
1.6317 1.6317 1.6317
1.6317 4.8951 4.8951
3.2634 0.0000 0.0000
3.2634 3.2634 3.2634
4.8951 1.6317 4.8951
4.8951 4.8951 1.6317
1.6317 1.6317 4.8951
1.6317 4.8951 1.6317
4.8951 1.6317 1.6317
4.8951 4.8951 4.8951

---

No. 15
GGA-PBE NiHg2W, relaxed; DOS at the Fermi energy = 4.3 states/eV/f.u.; energy of formation = 0.86 eV/atom
1.0
4.1321 0.0000 0.0000
0.0000 4.1321 0.0000
0.0000 0.0000 8.0944
Ni Hg W
2 4 2
Cartesian
0.0000 0.0000 0.0000
2.0660 2.0660 4.0472
0.0000 0.0000 4.0472
0.0000 2.0660 2.0236
2.0660 0.0000 6.0708
2.0660 2.0660 0.0000
0.0000 2.0660 6.0708
2.0660 0.0000 2.0236

---

No. 16
GGA-PBE NiHg2W, relaxed; DOS at the Fermi energy = 3.8 states/eV/f.u.; energy of formation = 0.77 eV/atom
1.0
4.9218 0.0000 0.0000
0.0000 4.9218 0.0000
0.0000 0.0000 2.8884
Ni Hg W
1 2 1
Cartesian
0.0000 0.0000 0.0000
0.0000 2.4609 1.4442
2.4609 0.0000 1.4442
2.4609 2.4609 0.0000

---

No. 17
GGA-PBE NiHg2W, relaxed; DOS at the Fermi energy = 4.7 states/eV/f.u.; energy of formation = 0.90 eV/atom
1.0
6.5251 0.0000 0.0000
0.0000 6.5251 0.0000
0.0000 0.0000 6.5251
Ni Hg W
4 8 4
Cartesian
0.0000 0.0000 0.0000
0.0000 3.2625 3.2625
3.2625 0.0000 3.2625
3.2625 3.2625 0.0000
1.6313 1.6313 1.6313
1.6313 1.6313 4.8938
1.6313 4.8938 1.6313
1.6313 4.8938 4.8938
4.8938 1.6313 1.6313
4.8938 1.6313 4.8938
4.8938 4.8938 1.6313
4.8938 4.8938 4.8938
0.0000 0.0000 3.2625
0.0000 3.2625 0.0000
3.2625 0.0000 0.0000
3.2625 3.2625 3.2625

---

No. 18
GGA-PBE NiHg2W, relaxed; DOS at the Fermi energy = 4.0 states/eV/f.u.; energy of formation = 0.75 eV/atom
1.0
2.8207 0.0000 0.0000
0.0000 4.4595 0.0000
-1.1936 0.0000 5.4889
Ni Hg W
1 2 1
Cartesian
0.0000 0.0000 0.0000
-0.4658 2.2297 4.1632
2.0929 2.2297 1.3257
0.8136 0.0000 2.7444

---

No. 19
GGA-PBE NiHg2W, relaxed; DOS at the Fermi energy = 2.6 states/eV/f.u.; energy of formation = 0.86 eV/atom
1.0
4.1535 0.0000 0.0000
0.0000 4.1535 0.0000
0.0000 0.0000 8.0609
Ni Hg W
2 4 2
Cartesian
0.0000 0.0000 0.0000
2.0767 2.0767 4.0305
0.0000 2.0767 2.0152
0.0000 2.0767 6.0457
2.0767 0.0000 2.0152
2.0767 0.0000 6.0457
0.0000 0.0000 4.0305
2.0767 2.0767 0.0000

---

No. 20
GGA-PBE NiHg2W, relaxed; DOS at the Fermi energy = 3.4 states/eV/f.u.; energy of formation = 0.74 eV/atom
1.0
2.9034 0.0000 0.0000
0.0000 4.9383 0.0000
0.0000 0.0000 9.6301
Ni Hg W
2 4 2
Cartesian
0.0000 0.0000 0.0000
1.4517 2.4691 4.8151
0.0000 2.4691 2.6053
0.0000 2.4691 7.0249
1.4517 0.0000 2.2098
1.4517 0.0000 7.4203
0.0000 0.0000 4.8151
1.4517 2.4691 0.0000